P | Below is a relaxed structure of AcDyLu, with properties calculated at the PBE-GGA level.

Results
For the total moment, the calculation gives 0.06 Bohr magnetons per cell. The space group is No. 216.

Unit cell a=5.6152 b=5.6152 c=5.6152 alpha=60.00 beta=60.00 gamma=60.00
Closest atoms and distances in Å follow each position.
Element x y z (fractional)
Ac  0.0000  0.0000  0.0000  4 Dy 3.44, 4 Lu 3.44
Dy  0.7500  0.7500  0.7500  4 Ac 3.44
Lu  0.2500  0.2500  0.2500  4 Ac 3.44

---

Q | Below is a relaxed structure of AcDyLu, with properties calculated at the PBE-GGA level.

Results
For the total moment, the calculation gives 0.02 Bohr magnetons per cell. The space group is No. 216.

Unit cell a=5.5858 b=5.5858 c=5.5858 alpha=60.00 beta=60.00 gamma=60.00
Closest atoms and distances in Å follow each position.
Element x y z (fractional)
Ac  0.0000  0.0000  0.0000  4 Lu 3.42
Dy  0.5000  0.5000  0.5000  4 Lu 3.42
Lu  0.2500  0.2500  0.2500  4 Ac 3.42, 4 Dy 3.42

---

Structures ranked by computed energy, the most stable listed first: Q, P.

---

P | Below is a relaxed structure of AcDyPb, with properties calculated at the PBE-GGA level.

Results
For the total moment, the calculation gives 0.04 Bohr magnetons per cell. The space group is No. 216.

Unit cell a=5.4448 b=5.4448 c=5.4448 alpha=60.00 beta=60.00 gamma=60.00
Closest atoms and distances in Å follow each position.
Element x y z (fractional)
Ac  0.0000  0.0000  0.0000  4 Pb 3.33
Dy  0.5000  0.5000  0.5000  4 Pb 3.33
Pb  0.2500  0.2500  0.2500  4 Ac 3.33, 4 Dy 3.33

---

Q | Below is a relaxed structure of AcDyPb, with properties calculated at the PBE-GGA level.

Results
For the total moment, the calculation gives 0.06 Bohr magnetons per cell. The space group is No. 216.

Unit cell a=5.5843 b=5.5843 c=5.5843 alpha=60.00 beta=60.00 gamma=60.00
Closest atoms and distances in Å follow each position.
Element x y z (fractional)
Ac  0.0000  0.0000  0.0000  4 Dy 3.42, 4 Pb 3.42
Dy  0.7500  0.7500  0.7500  4 Ac 3.42
Pb  0.2500  0.2500  0.2500  4 Ac 3.42

---

Structures ranked by computed energy, the most stable listed first: P, Q.

---

P | Below is a relaxed structure of AcDyPu, with properties calculated at the PBE-GGA level.

Results
For the total moment, the calculation gives 6.60 Bohr magnetons per cell. The space group is No. 216.

Unit cell a=5.4627 b=5.4627 c=5.4627 alpha=60.00 beta=60.00 gamma=60.00
Closest atoms and distances in Å follow each position.
Element x y z (fractional)
Ac  0.0000  0.0000  0.0000  4 Pu 3.35
Dy  0.5000  0.5000  0.5000  4 Pu 3.35
Pu  0.2500  0.2500  0.2500  4 Ac 3.35, 4 Dy 3.35

---

Q | Below is a relaxed structure of AcDyPu, with properties calculated at the PBE-GGA level.

Results
For the total moment, the calculation gives 7.42 Bohr magnetons per cell. The space group is No. 216.

Unit cell a=5.5059 b=5.5059 c=5.5059 alpha=60.00 beta=60.00 gamma=60.00
Closest atoms and distances in Å follow each position.
Element x y z (fractional)
Ac  0.0000  0.0000  0.0000  4 Dy 3.37, 4 Pu 3.37
Dy  0.7500  0.7500  0.7500  4 Ac 3.37
Pu  0.2500  0.2500  0.2500  4 Ac 3.37

---

Structures ranked by computed energy, the most stable listed first: P, Q.